Entry 1:
## NbBiIr2Os (PBE)

Data for a relaxed NbBiIr2Os crystal.

Properties
- SG = P4/mmm (123)
- ΔE_f (eV/atom) = 1.70
- density (g cm⁻³) = 12.6
- spin magnetization (μB per cell) = 0.0

a b c (Å): 4.7174 4.7174 5.1804
angles (deg): 90.00 90.00 90.00
Atoms (fractional coordinates):
Nb  0.0000  0.0000  0.0000
Bi  0.5000  0.5000  0.0000
Ir  0.0000  0.5000  0.5000
Ir  0.5000  0.0000  0.5000
Os  0.5000  0.5000  0.5000


Entry 2:
## Nb2BiPIr (PBE)

Data for a relaxed Nb2BiPIr crystal.

Properties
- SG = P4/mmm (123)
- ΔE_f (eV/atom) = 0.81
- density (g cm⁻³) = 9.5
- spin magnetization (μB per cell) = 0.0

a b c (Å): 4.5805 4.5805 5.1699
angles (deg): 90.00 90.00 90.00
Atoms (fractional coordinates):
Nb  0.0000  0.5000  0.0000
Nb  0.5000  0.0000  0.0000
Bi  0.0000  0.0000  0.5000
P  0.0000  0.0000  0.0000
Ir  0.5000  0.5000  0.5000


Entry 3:
## NbBiIrS2 (PBE)

Data for a relaxed NbBiIrS2 crystal.

Properties
- E_form (uncorrected) (kJ/mol of formula units) = 417.9
- SG = P4/mmm (123)
- density (g cm⁻³) = 8.2
- spin magnetization (μB per cell) = 0.0

a b c (Å): 4.5464 4.5464 5.4712
angles (deg): 90.00 90.00 90.00
Atoms (fractional coordinates):
Nb  0.0000  0.0000  0.0000
Bi  0.5000  0.5000  0.0000
Ir  0.5000  0.5000  0.5000
S  0.0000  0.5000  0.5000
S  0.5000  0.0000  0.5000


Entry 4:
## NbSiBiIr2 (PBE)

Data for a relaxed NbSiBiIr2 crystal.

Properties
- E_form (uncorrected) (kJ/mol of formula units) = 421.9
- SG = P4/mmm (123)
- density (g cm⁻³) = 11.4
- spin magnetization (μB per cell) = 1.3

a b c (Å): 4.4006 4.4006 5.3675
angles (deg): 90.00 90.00 90.00
Atoms (fractional coordinates):
Nb  0.0000  0.0000  0.0000
Si  0.5000  0.5000  0.5000
Bi  0.5000  0.5000  0.0000
Ir  0.0000  0.5000  0.5000
Ir  0.5000  0.0000  0.5000